NaV2CuO6 | PBE with a Hubbard U | relaxed

Unit cell a=7.3081 b=7.3081 c=5.8341 alpha=105.92 beta=105.92 gamma=89.26
Positions (direct):
Na1 0.1023 0.8977 0.7500
Na2 0.8977 0.1023 0.2500
V1 0.2288 0.4005 0.7984
V2 0.4005 0.2288 0.2984
V3 0.5995 0.7712 0.7016
V4 0.7712 0.5995 0.2016
Cu1 0.2193 0.7807 0.2500
Cu2 0.7807 0.2193 0.7500
O1 0.0412 0.2333 0.6818
O2 0.1543 0.6208 0.9102
O3 0.2333 0.0412 0.1818
O4 0.3272 0.3981 0.5429
O5 0.3792 0.8457 0.5898
O6 0.3981 0.3272 0.0429
O7 0.6019 0.6728 0.9571
O8 0.6208 0.1543 0.4102
O9 0.6728 0.6019 0.4571
O10 0.7667 0.9588 0.8182
O11 0.8457 0.3792 0.0898
O12 0.9588 0.7667 0.3182

Crystal system: monoclinic
Total DFT energy (no corrections) (eV/cell): -133.88
Density (g/cm³): 3.29